VASP calculation (PBE) on a geometry-optimized Co21Sn2P6 structure.

## Properties
**Spin magnetization**: 75.5 μB/cell
**ΔH_f (0 K)**: -0.330 eV per atom
**Theoretical density**: 8.16 g cm⁻³
**DOS(E_F)**: 0.709 states/eV per atom

Lattice parameters (Å, degrees): 11.056 11.056 11.056 90.00 90.00 90.00
Space group Fm-3m (No. 225)
Asymmetric unit:
Co1 0.000 0.000 0.000 (multiplicity 4)
Co2 0.000 0.170 0.170 (multiplicity 48)
Co3 0.118 0.118 0.382 (multiplicity 32)
Sn1 0.250 0.250 0.250 (multiplicity 8)
P1 0.000 0.000 0.273 (multiplicity 24)